Record 1
VASP calculation (PBE) on crystalline PmPr5Er2 at its relaxed geometry.

a = 9.3717 Å, b = 9.3717 Å, c = 12.7058 Å
α = 90.00°, β = 90.00°, γ = 90.00°
Last column: nearest neighbours and their distance in Å.
Space group I4/mcm (No. 140)
Symmetry-distinct sites (fractional):
Pm1 0.0000 0.0000 0.2500  2 Pr 3.18
Pr1 0.0000 0.0000 0.0000  2 Pm 3.18
Pr2 0.1486 0.3514 0.1629  3 Er 3.40-3.46, 3 Pr 3.48-3.56, 2 Pm 3.74
Er1 0.1475 0.3525 0.5000  8 Pr 3.40-3.58

M_tot, μB per formula unit: 0.00
Energy of formation from the pure elements, eV/atom: 0.12
V, Å³ per atom: 34.87

Record 2
VASP calculation (PBE) on crystalline Pm2PrEr at its relaxed geometry.

a = 5.1250 Å, b = 5.1250 Å, c = 5.1449 Å
α = 90.00°, β = 90.00°, γ = 90.00°
Last column: nearest neighbours and their distance in Å.
Space group P4/mmm (No. 123)
Symmetry-distinct sites (fractional):
Pm1 0.0000 0.5000 0.0000  4 Pm 3.62, 4 Er 3.63, 4 Pr 3.63
Pr1 0.0000 0.0000 0.5000  4 Er 3.62, 8 Pm 3.63
Er1 0.5000 0.5000 0.5000  4 Pr 3.62, 8 Pm 3.63

M_tot, μB per formula unit: 0.00
Energy of formation from the pure elements, eV/atom: 0.02
E above lowest polymorph, eV/atom: 0.000
V, Å³ per atom: 33.78

Record 3
VASP calculation (PBE) on crystalline PmPr2Er at its relaxed geometry.

a = 3.6574 Å, b = 3.6574 Å, c = 35.5643 Å
α = 90.00°, β = 90.00°, γ = 120.00°
Last column: nearest neighbours and their distance in Å.
Space group R3m (No. 160, hexagonal axes)
Symmetry-distinct sites (fractional):
Pm1 0.0000 0.0000 0.0000  6 Pm 3.66, 6 Pr 3.67-3.69
Pr1 0.0000 0.0000 0.5824  3 Er 3.59, 6 Pr 3.66, 3 Pm 3.67
Pr2 0.0000 0.0000 0.7519  3 Er 3.61, 6 Pr 3.66, 3 Pm 3.69
Er1 0.0000 0.0000 0.1675  6 Pr 3.59-3.61, 6 Er 3.66

M_tot, μB per formula unit: 0.00
Energy of formation from the pure elements, eV/atom: 0.02
E above lowest polymorph, eV/atom: 0.007
V, Å³ per atom: 34.33

Record 4
VASP calculation (PBE) on crystalline Pm3PrEr12 at its relaxed geometry.

a = 5.0137 Å, b = 5.0137 Å, c = 20.0737 Å
α = 90.00°, β = 90.00°, γ = 90.00°
Last column: nearest neighbours and their distance in Å.
Space group P4/mmm (No. 123)
Symmetry-distinct sites (fractional):
Pm1 0.0000 0.0000 0.0000  12 Er 3.54-3.55
Pm2 0.0000 0.0000 0.2496  12 Er 3.54-3.55
Pr1 0.0000 0.0000 0.5000  12 Er 3.55-3.56
Er1 0.0000 0.5000 0.1248  8 Er 3.54-3.55, 4 Pm 3.54
Er2 0.0000 0.5000 0.3741  2 Pm 3.54, 8 Er 3.54-3.56, 2 Pr 3.56
Er3 0.5000 0.5000 0.0000  8 Er 3.54, 4 Pm 3.55
Er4 0.5000 0.5000 0.2493  8 Er 3.54, 4 Pm 3.55
Er5 0.5000 0.5000 0.5000  4 Pr 3.55, 8 Er 3.56

M_tot, μB per formula unit: 0.00
Energy of formation from the pure elements, eV/atom: 0.02
V, Å³ per atom: 31.54